Below is an optimized crystal structure of YAlAg4, with properties calculated at the PBE level.

Cell and atoms, written as CIF:
```
data_YAlAg4
_cell_length_a 5.0041
_cell_length_b 5.0042
_cell_length_c 10.0238
_cell_angle_alpha 103.97
_cell_angle_beta 103.91
_cell_angle_gamma 90.15
_symmetry_space_group_name_H-M 'P -1'
_symmetry_Int_Tables_number 2
_symmetry_space_group_name_Hall '-P 1'
loop_
_atom_site_label
_atom_site_fract_x
_atom_site_fract_y
_atom_site_fract_z
Y1 0.2495 0.2500 0.0000
Al1 0.0000 0.5000 0.5000
Al2 0.5000 0.0000 0.5000
Ag1 0.0781 0.0788 0.6501
Ag2 0.1572 0.6554 0.8063
Ag3 0.3455 0.8446 0.1937
Ag4 0.4189 0.4211 0.3499
```

Summary:
M_tot ... 0.00 μB/atom
Energy of formation ... -112 meV per atom
Volume ... 19.66 A^3/atom